--- 1 ---
# Er6Al2Tl | the Alexandria database | PBE | optimized geometry
data_Er6Al2Tl
_chemical_formula_sum 'Er12 Al4 Tl2'
_cell_length_a 5.0454
_cell_length_b 7.1514
_cell_length_c 15.1498
_cell_angle_alpha 90.00
_cell_angle_beta 90.00
_cell_angle_gamma 90.00
_space_group_name_H-M_alt 'I m m m'
_space_group_IT_number 71
_space_group_name_Hall '-I 2 2'
loop_
_atom_site_label
_atom_site_fract_x
_atom_site_fract_y
_atom_site_fract_z
Er1 0.0000 0.2421 0.0000
Er2 0.0000 0.2541 0.3303
Al1 0.0000 0.0000 0.1669
Tl1 0.0000 0.0000 0.5000
# **Spin magnetization**: 0.00 μB/f.u.

--- 2 ---
# Er6Al2Tl | the Alexandria database | PBE | optimized geometry
data_Er6Al2Tl
_chemical_formula_sum 'Er24 Al8 Tl4'
_cell_length_a 9.5815
_cell_length_b 9.7412
_cell_length_c 10.5758
_cell_angle_alpha 90.00
_cell_angle_beta 90.00
_cell_angle_gamma 90.00
_space_group_name_H-M_alt 'I m m m'
_space_group_IT_number 71
_space_group_name_Hall '-I 2 2'
loop_
_atom_site_label
_atom_site_fract_x
_atom_site_fract_y
_atom_site_fract_z
Er1 0.0000 0.2076 0.1788
Er2 0.1846 0.2248 0.5000
Er3 0.2032 0.5000 0.2556
Al1 0.0000 0.0000 0.3782
Al2 0.1429 0.0000 0.0000
Tl1 0.0000 0.5000 0.0000
Tl2 0.0000 0.5000 0.5000
# **Spin magnetization**: 0.00 μB/f.u.

Which of them is most stable, and which least? Most stable: 2; least stable: 1.

--- 1 ---
# Er6AlTl | the Alexandria database | PBE | optimized geometry
data_Er6AlTl
_chemical_formula_sum 'Er12 Al2 Tl2'
_cell_length_a 6.4618
_cell_length_b 11.2654
_cell_length_c 6.2684
_cell_angle_alpha 90.00
_cell_angle_beta 90.02
_cell_angle_gamma 90.00
_space_group_name_H-M_alt 'C 1 2/m 1'
_space_group_IT_number 12
loop_
_space_group_symop_operation_xyz
'x,y,z'
'-x,-y,-z'
'-x,y,-z'
'x,-y,z'
'x+1/2,y+1/2,z'
'-x+1/2,-y+1/2,-z'
'-x+1/2,y+1/2,-z'
'x+1/2,-y+1/2,z'
loop_
_atom_site_label
_atom_site_fract_x
_atom_site_fract_y
_atom_site_fract_z
Er1 0.0880 0.0000 0.2571
Er2 0.2012 0.2946 0.2573
Al1 0.0000 0.5000 0.5000
Tl1 0.0000 0.5000 0.0000
# **Spin magnetization**: 0.00 μB/f.u.

--- 2 ---
# Er6AlTl | the Alexandria database | PBE | optimized geometry
data_Er6AlTl
_chemical_formula_sum 'Er6 Al1 Tl1'
_cell_length_a 4.7599
_cell_length_b 4.7599
_cell_length_c 9.5334
_cell_angle_alpha 90.00
_cell_angle_beta 90.00
_cell_angle_gamma 90.00
_space_group_name_H-M_alt 'P 4/m m m'
_space_group_IT_number 123
_space_group_name_Hall '-P 4 2'
loop_
_atom_site_label
_atom_site_fract_x
_atom_site_fract_y
_atom_site_fract_z
Er1 0.0000 0.0000 0.0000
Er2 0.0000 0.0000 0.5000
Er3 0.0000 0.5000 0.2410
Al1 0.5000 0.5000 0.0000
Tl1 0.5000 0.5000 0.5000
# **Spin magnetization**: 0.00 μB/f.u.

Which of them is most stable, and which least? Most stable: 2; least stable: 1.